No. 1
Entry from Alexandria: a relaxed CsKZn3 crystal (PBE-GGA).

Cell and atoms, written as extended XYZ:
```
5
Lattice="6.336 0.000 0.000 0.000 6.336 0.000 0.000 0.000 6.336" Properties=species:S:1:pos:R:3 pbc="T T T"
Cs 3.168 3.168 3.168
K 0.000 0.000 0.000
Zn 0.000 3.168 0.000
Zn 0.000 0.000 3.168
Zn 3.168 0.000 0.000
```

Results
Energy of formation from the pure elements, eV/atom: 0.4669
Polymorph energy (0 for the lowest one), meV per atom: 0
Raw total energy, eV per atom: -0.688


No. 2
Entry from Alexandria: a relaxed Er3Cd8Ag3 crystal (PBE-GGA).

Cell and atoms, written as extended XYZ:
```
14
Lattice="4.654 0.000 1.230 1.982 8.060 1.919 0.239 -0.006 8.516" Properties=species:S:1:pos:R:3 pbc="T T T"
Er 3.438 4.027 5.832
Er 4.138 1.709 3.183
Er 2.738 6.345 8.482
Cd 3.285 0.660 6.410
Cd 3.590 7.394 5.255
Cd 4.261 5.175 2.717
Cd 2.615 2.880 8.947
Cd 5.660 6.196 6.842
Cd 1.215 1.858 4.823
Cd 5.201 4.070 8.581
Cd 1.675 3.984 3.084
Ag 2.327 0.000 0.615
Ag 1.725 6.869 2.893
Ag 0.497 1.185 7.542
```

Results
Energy of formation from the pure elements, eV/atom: -0.1870
Raw total energy, eV per atom: -2.299


No. 3
Entry from Alexandria: a relaxed K2PPb crystal (PBE-GGA).

Cell and atoms, written as extended XYZ:
```
4
Lattice="0.000 3.991 3.991 3.991 0.000 3.991 3.991 3.991 0.000" Properties=species:S:1:pos:R:3 pbc="T T T"
Pb 3.991 3.991 3.991
P 0.000 0.000 0.000
K 1.995 1.995 1.995
K 5.986 5.986 5.986
```

Results
Energy of formation from the pure elements, eV/atom: 0.1841
Polymorph energy (0 for the lowest one), meV per atom: 418
Raw total energy, eV per atom: -2.644